Below is crystalline Sr2Mg5Sn3Hg2 at its relaxed geometry, with properties calculated at the GGA-PBE level.

Calculated values
* volume: 30.10 Å³ per atom
* ΔE_f: -0.156 eV per atom
* total magnetization: 0.0 μB per formula unit
* symmetry: I4/mmm

The structure in CIF format:
```
data_Sr2Mg5Sn3Hg2
_chemical_formula_sum 'Sr2 Mg5 Sn3 Hg2'
_cell_length_a 4.628
_cell_length_b 4.628
_cell_length_c 17.178
_cell_angle_alpha 97.74
_cell_angle_beta 97.74
_cell_angle_gamma 90.00
_space_group_name_H-M_alt 'P 1'
_space_group_IT_number 1
loop_
_space_group_symop_operation_xyz
'x,y,z'
loop_
_atom_site_label
_atom_site_fract_x
_atom_site_fract_y
_atom_site_fract_z
Mg1 0.500 0.500 0.000
Mg2 0.129 0.629 0.258
Mg3 0.871 0.371 0.742
Sn1 0.816 0.816 0.632
Sn2 0.184 0.184 0.368
Mg4 0.371 0.871 0.742
Sr1 0.711 0.711 0.422
Hg1 0.579 0.579 0.157
Mg5 0.629 0.129 0.258
Sr2 0.289 0.289 0.578
Sn3 0.000 0.000 0.000
Hg2 0.421 0.421 0.843
```